Entry from the Alexandria database: CdRh2Se after structural relaxation (GGA-PBE).

magnetic moment	0.00	μB/f.u.
VASP energy	-4.6656	eV/atom
DOS at the Fermi energy	5.47	states/eV/cell

abc: 5.7945 5.7945 5.7945
angles: 104.75 104.75 119.39
Closest atoms and distances in Å follow each position.
Sites, in units of the cell vectors:
Cd 0.0000 0.0000 0.0000  8 Rh 2.89-3.13, 2 Se 2.92
Cd 0.7500 0.2500 0.5000  8 Rh 2.89-3.13, 2 Se 2.92
Rh 0.1810 0.6250 0.0560  2 Se 2.36
Rh 0.3750 0.4310 0.5560  2 Se 2.36
Rh 0.5690 0.1250 0.9440  2 Se 2.36
Rh 0.8750 0.8190 0.4440  2 Se 2.36
Se 0.2500 0.7500 0.5000  4 Rh 2.36
Se 0.5000 0.5000 0.0000  4 Rh 2.36